1.
Here is a geometry-optimized Zn2AgPb structure from Alexandria via LeMat-Bulk. Energies are from PBE-GGA.

Results
* energy: -2.1078 eV per atom
* total magnetization: 0.0 μB/f.u.
* SG: Imm2
* energy relative to the elements: 0.169 eV/atom

a = 5.6783 Å, b = 5.6783 Å, c = 5.6783 Å
α = 144.89°, β = 128.18°, γ = 64.14°
Atoms (fractional coordinates):
Zn 0.9733 0.9733 0.0000
Zn 0.7565 0.2565 0.5000
Pb 0.2461 0.7461 0.5000
Ag 0.5241 0.5241 0.0000

2.
Here is a geometry-optimized ZnAg2Pb structure from Alexandria via LeMat-Bulk. Energies are from PBE-GGA.

Results
* ΔE to the lowest computed polymorph: 51.3 meV/atom
* energy: -2.5592 eV per atom
* total magnetization: 0.0 μB/f.u.
* SG: Cm
* energy relative to the elements: 0.112 eV/atom

a = 4.9565 Å, b = 4.9565 Å, c = 5.8892 Å
α = 80.18°, β = 80.18°, γ = 36.53°
Atoms (fractional coordinates):
Pb 0.5031 0.5031 0.5075
Zn 0.2594 0.2594 0.1769
Ag 0.9961 0.9961 0.0265
Ag 0.7415 0.7415 0.7890

3.
Here is a geometry-optimized ZnAg2Pb structure from Alexandria via LeMat-Bulk. Energies are from PBE-GGA.

Results
* ΔE to the lowest computed polymorph: 72.7 meV/atom
* energy: -2.5377 eV per atom
* total magnetization: 0.0 μB/f.u.
* SG: P4/mmm
* energy relative to the elements: 0.133 eV/atom

a = 4.3171 Å, b = 4.3194 Å, c = 4.3586 Å
α = 90.00°, β = 90.00°, γ = 90.00°
Atoms (fractional coordinates):
Ag 0.5000 0.5000 0.0000
Ag 0.0000 0.0000 0.0000
Zn 0.0000 0.5000 0.5000
Pb 0.5000 0.0000 0.5000

4.
Here is a geometry-optimized Zn2AgPb structure from Alexandria via LeMat-Bulk. Energies are from PBE-GGA.

Results
* energy: -2.0786 eV per atom
* total magnetization: 0.0 μB/f.u.
* SG: F-43m
* energy relative to the elements: 0.198 eV/atom

a = 4.8894 Å, b = 4.8894 Å, c = 4.8894 Å
α = 60.00°, β = 60.00°, γ = 60.00°
Atoms (fractional coordinates):
Zn 0.2500 0.2500 0.2500
Zn 0.0000 0.0000 0.0000
Ag 0.5000 0.5000 0.5000
Pb 0.7500 0.7500 0.7500

5.
Here is a geometry-optimized Zn2AgPb structure from Alexandria via LeMat-Bulk. Energies are from PBE-GGA.

Results
* energy: -2.1623 eV per atom
* total magnetization: 0.0 μB/f.u.
* SG: Cm
* energy relative to the elements: 0.115 eV/atom

a = 4.6583 Å, b = 4.6583 Å, c = 6.0490 Å
α = 79.85°, β = 79.85°, γ = 40.20°
Atoms (fractional coordinates):
Ag 0.4876 0.4876 0.5619
Zn 0.7496 0.7496 0.7594
Zn 0.0144 0.0144 0.9306
Pb 0.2483 0.2483 0.2481

6.
Here is a geometry-optimized ZnAg4Pb structure from Alexandria via LeMat-Bulk. Energies are from PBE-GGA.

Results
* energy: -2.5800 eV per atom
* total magnetization: 0.0 μB/f.u.
* SG: F-43m
* energy relative to the elements: 0.151 eV/atom

a = 5.5848 Å, b = 5.5848 Å, c = 5.5848 Å
α = 60.00°, β = 60.00°, γ = 60.00°
Atoms (fractional coordinates):
Zn 0.0000 0.0000 0.0000
Ag 0.3745 0.8765 0.3745
Ag 0.8765 0.3745 0.3745
Ag 0.3745 0.3745 0.3745
Ag 0.3745 0.3745 0.8765
Pb 0.7500 0.7500 0.7500

7.
Here is a geometry-optimized Zn4AgPb structure from Alexandria via LeMat-Bulk. Energies are from PBE-GGA.

Results
* energy: -1.8616 eV per atom
* total magnetization: 0.0 μB/f.u.
* SG: F-43m
* energy relative to the elements: 0.081 eV/atom

a = 5.3808 Å, b = 5.3808 Å, c = 5.3808 Å
α = 60.00°, β = 60.00°, γ = 60.00°
Atoms (fractional coordinates):
Zn 0.3760 0.3760 0.8721
Zn 0.3760 0.3760 0.3760
Zn 0.8721 0.3760 0.3760
Zn 0.3760 0.8721 0.3760
Ag 0.7500 0.7500 0.7500
Pb 0.0000 0.0000 0.0000

8.
Here is a geometry-optimized Zn2AgPb structure from Alexandria via LeMat-Bulk. Energies are from PBE-GGA.

Results
* energy: -2.0874 eV per atom
* total magnetization: 0.0 μB/f.u.
* SG: R-3m
* energy relative to the elements: 0.189 eV/atom

a = 9.2867 Å, b = 9.2867 Å, c = 9.2867 Å
α = 20.28°, β = 20.28°, γ = 20.28°
Atoms (fractional coordinates):
Zn 0.9885 0.9885 0.9885
Zn 0.5115 0.5115 0.5115
Pb 0.7500 0.7500 0.7500
Ag 0.2500 0.2500 0.2500

One value per record, in order, for mass density: 9.05, 9.57, 9.98, 8.96, 8.90, 9.49, 8.69, 8.79 Mg/m³.
One value per record, in order, for Fermi-level density of states: 0.32, 0.23, 0.46, 0.23, 0.26, 0.43, 0.41, 0.65 states/eV per atom.